Computed, not measured: HoThBi after structural relaxation at the PBE level of DFT.

Lattice parameters (Å, degrees): 4.310 4.310 10.247 90.00 90.00 90.00
Space group P4/nmm (No. 129, origin choice 2)
Asymmetric unit:
Ho  0.250  0.250  0.211
Th  0.250  0.250  0.573
Bi  0.250  0.250  0.892

Calculated values
N(E_F) = 1.12 states/eV/atom
magnetic moment = 0.000 μB/atom
V = 31.7 Å³ per atom
uncorrected energy = -5.562 eV per atom
formation enthalpy at 0 K = -269 meV per atom

Computed, not measured: HoThBi2 after structural relaxation at the PBE level of DFT.

Lattice parameters (Å, degrees): 7.824 7.824 7.824 90.00 90.00 90.00
Space group Fm-3m (No. 225)
Asymmetric unit:
Ho  0.000  0.000  0.000
Th  0.000  0.000  0.500
Bi  0.250  0.250  0.250

Calculated values
energy above the lowest structure with this stoichiometry = 167 meV per atom
N(E_F) = 1.13 states/eV/atom
magnetic moment = 0.000 μB/atom
V = 29.9 Å³ per atom
uncorrected energy = -5.470 eV per atom
formation enthalpy at 0 K = -530 meV per atom

Computed, not measured: Ho2ThBi after structural relaxation at the PBE level of DFT.

Lattice parameters (Å, degrees): 3.966 3.966 7.510 90.00 90.00 90.00
Space group P4/mmm (No. 123)
Asymmetric unit:
Ho  0.000  0.000  0.225
Th  0.500  0.500  0.500
Bi  0.500  0.500  0.000

Calculated values
energy above the lowest structure with this stoichiometry = 0 meV per atom
N(E_F) = 1.01 states/eV/atom
magnetic moment = 0.000 μB/atom
V = 29.5 Å³ per atom
uncorrected energy = -5.459 eV per atom
formation enthalpy at 0 K = -345 meV per atom

Computed, not measured: HoThBi2 after structural relaxation at the PBE level of DFT.

Lattice parameters (Å, degrees): 6.427 6.427 12.790 90.00 90.00 90.00
Space group I4_1/amd (No. 141, origin choice 2)
Asymmetric unit:
Ho  0.000  0.250  0.375
Th  0.000  0.250  0.875
Bi  0.000  0.250  0.129

Calculated values
energy above the lowest structure with this stoichiometry = 4 meV per atom
N(E_F) = 0.43 states/eV/atom
magnetic moment = 0.000 μB/atom
V = 33.0 Å³ per atom
uncorrected energy = -5.633 eV per atom
formation enthalpy at 0 K = -693 meV per atom

Computed, not measured: HoTh2Bi3 after structural relaxation at the PBE level of DFT.

Lattice parameters (Å, degrees): 4.542 6.451 13.688 90.00 90.00 90.00
Space group Immm (No. 71)
Asymmetric unit:
Ho  0.000  0.000  0.000
Th  0.000  0.000  0.331
Bi  0.000  0.500  0.000
Bi  0.000  0.500  0.340

Calculated values
N(E_F) = 0.57 states/eV/atom
magnetic moment = 0.000 μB/atom
V = 33.4 Å³ per atom
uncorrected energy = -5.824 eV per atom
formation enthalpy at 0 K = -647 meV per atom

Computed, not measured: HoTh2Bi4 after structural relaxation at the PBE level of DFT.

Lattice parameters (Å, degrees): 9.547 9.547 9.702 90.00 90.00 90.00
Space group I-42d (No. 122)
Asymmetric unit:
Ho  0.000  0.000  0.000
Th  0.120  0.250  0.625
Bi  0.079  0.177  0.293

Calculated values
N(E_F) = 0.54 states/eV/atom
magnetic moment = 0.000 μB/atom
V = 31.6 Å³ per atom
uncorrected energy = -5.612 eV per atom
formation enthalpy at 0 K = -621 meV per atom

Computed, not measured: Ho5ThBi6 after structural relaxation at the PBE level of DFT.

Lattice parameters (Å, degrees): 7.769 13.453 7.774 90.00 109.50 90.00
Space group C2/m (No. 12)
Asymmetric unit:
Ho  0.000  0.000  0.000
Ho  0.000  0.168  0.500
Ho  0.000  0.336  0.000
Th  0.000  0.500  0.500
Bi  0.245  0.000  0.751
Bi  0.246  0.169  0.246

Calculated values
N(E_F) = 0.27 states/eV/atom
magnetic moment = 0.000 μB/atom
V = 31.9 Å³ per atom
uncorrected energy = -5.264 eV per atom
formation enthalpy at 0 K = -797 meV per atom

Computed, not measured: HoTh4Bi5 after structural relaxation at the PBE level of DFT.

Lattice parameters (Å, degrees): 10.220 10.220 6.474 90.00 90.00 90.00
Space group I4/m (No. 87)
Asymmetric unit:
Ho  0.000  0.000  0.000
Th  0.096  0.303  0.500
Bi  0.000  0.000  0.500
Bi  0.100  0.292  0.000

Calculated values
N(E_F) = 0.79 states/eV/atom
magnetic moment = 0.000 μB/atom
V = 33.8 Å³ per atom
uncorrected energy = -5.974 eV per atom
formation enthalpy at 0 K = -607 meV per atom

Computed, not measured: Ho2Th2Bi5 after structural relaxation at the PBE level of DFT.

Lattice parameters (Å, degrees): 16.074 8.457 8.482 90.00 90.00 90.00
Space group Cmce (No. 64)
Asymmetric unit:
Ho  0.000  0.150  0.153
Th  0.194  0.000  0.500
Bi  0.000  0.000  0.500
Bi  0.137  0.156  0.846

Calculated values
N(E_F) = 0.56 states/eV/atom
magnetic moment = 0.000 μB/atom
V = 32.0 Å³ per atom
uncorrected energy = -5.410 eV per atom
formation enthalpy at 0 K = -587 meV per atom

Computed, not measured: HoThBi2 after structural relaxation at the PBE level of DFT.

Lattice parameters (Å, degrees): 4.4611 4.4611 23.3501 90.00 90.00 120.00
Space group R3m (No. 160, hexagonal axes)
Asymmetric unit:
Ho  0.0000  0.0000  0.0000
Th  0.0000  0.0000  0.8278
Bi  0.0000  0.0000  0.2486
Bi  0.0000  0.0000  0.4114

Calculated values
energy above the lowest structure with this stoichiometry = 91 meV per atom
N(E_F) = 0.86 states/eV/atom
magnetic moment = 0.000 μB/atom
V = 33.5 Å³ per atom
uncorrected energy = -5.546 eV per atom
formation enthalpy at 0 K = -606 meV per atom

Computed, not measured: HoTh2Bi2 after structural relaxation at the PBE level of DFT.

Lattice parameters (Å, degrees): 6.937 6.329 7.963 90.00 103.83 90.00
Space group C2/m (No. 12)
Asymmetric unit:
Ho  0.000  0.000  0.000
Th  0.000  0.249  0.500
Bi  0.157  0.500  0.192

Calculated values
N(E_F) = 0.79 states/eV/atom
magnetic moment = 0.000 μB/atom
V = 34.0 Å³ per atom
uncorrected energy = -5.630 eV per atom
formation enthalpy at 0 K = -194 meV per atom

Computed, not measured: Ho2ThBi after structural relaxation at the PBE level of DFT.

Lattice parameters (Å, degrees): 4.977 4.977 4.727 90.00 90.00 90.00
Space group P4/mmm (No. 123)
Asymmetric unit:
Ho  0.000  0.500  0.000
Th  0.000  0.000  0.500
Bi  0.500  0.500  0.500

Calculated values
energy above the lowest structure with this stoichiometry = 47 meV per atom
N(E_F) = 0.93 states/eV/atom
magnetic moment = 0.000 μB/atom
V = 29.3 Å³ per atom
uncorrected energy = -5.412 eV per atom
formation enthalpy at 0 K = -298 meV per atom

Computed, not measured: HoTm2Th3Bi6 after structural relaxation at the PBE level of DFT.

Lattice parameters (Å, degrees): 19.697 4.526 9.013 90.00 103.06 90.00
Space group C2/m (No. 12)
Asymmetric unit:
Ho  0.000  0.000  0.000
Tm  0.167  0.500  0.333
Th  0.000  0.000  0.500
Th  0.166  0.500  0.833
Bi  0.003  0.500  0.244
Bi  0.165  0.000  0.091
Bi  0.170  0.000  0.576

Calculated values
N(E_F) = 0.55 states/eV/atom
magnetic moment = 0.000 μB/atom
V = 32.6 Å³ per atom
uncorrected energy = -5.599 eV per atom
formation enthalpy at 0 K = -676 meV per atom

Computed, not measured: HoTm3Th2Bi6 after structural relaxation at the PBE level of DFT.

Lattice parameters (Å, degrees): 19.568 4.503 8.974 90.00 103.09 90.00
Space group C2/m (No. 12)
Asymmetric unit:
Ho  0.000  0.000  0.000
Tm  0.000  0.000  0.500
Tm  0.168  0.500  0.834
Th  0.165  0.500  0.331
Bi  0.004  0.500  0.750
Bi  0.164  0.000  0.590
Bi  0.167  0.000  0.074

Calculated values
N(E_F) = 0.40 states/eV/atom
magnetic moment = 0.000 μB/atom
V = 32.1 Å³ per atom
uncorrected energy = -5.392 eV per atom
formation enthalpy at 0 K = -716 meV per atom

Computed, not measured: Ho2TmThBi5 after structural relaxation at the PBE level of DFT.

Lattice parameters (Å, degrees): 5.728 5.728 11.854 90.00 90.00 90.00
Space group P4/mmm (No. 123)
Asymmetric unit:
Ho  0.000  0.000  0.231
Tm  0.500  0.500  0.500
Th  0.500  0.500  0.000
Bi  0.000  0.000  0.500
Bi  0.000  0.500  0.000
Bi  0.500  0.500  0.259

Calculated values
N(E_F) = 0.80 states/eV/atom
magnetic moment = 0.000 μB/atom
V = 43.2 Å³ per atom
uncorrected energy = -4.233 eV per atom
formation enthalpy at 0 K = 261 meV per atom

Computed, not measured: Ho3Tm2ThBi6 after structural relaxation at the PBE level of DFT.

Lattice parameters (Å, degrees): 19.493 4.483 8.954 90.00 103.27 90.00
Space group C2/m (No. 12)
Asymmetric unit:
Ho  0.000  0.000  0.000
Ho  0.166  0.500  0.330
Tm  0.168  0.500  0.835
Th  0.000  0.000  0.500
Bi  0.002  0.500  0.758
Bi  0.167  0.000  0.081
Bi  0.169  0.000  0.585

Calculated values
N(E_F) = 0.16 states/eV/atom
magnetic moment = 0.000 μB/atom
V = 31.7 Å³ per atom
uncorrected energy = -5.225 eV per atom
formation enthalpy at 0 K = -776 meV per atom

Computed, not measured: Ho2TmThBi4 after structural relaxation at the PBE level of DFT.

Lattice parameters (Å, degrees): 7.770 4.499 7.777 90.00 109.50 90.00
Space group P2/m (No. 10)
Asymmetric unit:
Ho  0.000  0.000  0.000
Ho  0.500  0.500  0.000
Tm  0.000  0.500  0.500
Th  0.500  0.000  0.500
Bi  0.242  0.500  0.244
Bi  0.245  0.000  0.752

Calculated values
N(E_F) = 0.22 states/eV/atom
magnetic moment = 0.000 μB/atom
V = 32.0 Å³ per atom
uncorrected energy = -5.330 eV per atom
formation enthalpy at 0 K = -758 meV per atom

Computed, not measured: HoTm2ThBi5 after structural relaxation at the PBE level of DFT.

Lattice parameters (Å, degrees): 5.724 5.724 11.906 90.00 90.00 90.00
Space group P4/mmm (No. 123)
Asymmetric unit:
Ho  0.000  0.000  0.000
Tm  0.500  0.500  0.266
Th  0.000  0.000  0.500
Bi  0.000  0.000  0.241
Bi  0.000  0.500  0.500
Bi  0.500  0.500  0.000

Calculated values
N(E_F) = 0.72 states/eV/atom
magnetic moment = 0.000 μB/atom
V = 43.3 Å³ per atom
uncorrected energy = -4.183 eV per atom
formation enthalpy at 0 K = 299 meV per atom

Computed, not measured: YHo2ThBi5 after structural relaxation at the PBE level of DFT.

Lattice parameters (Å, degrees): 5.724 5.724 11.928 90.00 90.00 90.00
Space group P4/mmm (No. 123)
Asymmetric unit:
Y  0.000  0.000  0.000
Ho  0.500  0.500  0.266
Th  0.000  0.000  0.500
Bi  0.000  0.000  0.242
Bi  0.000  0.500  0.500
Bi  0.500  0.500  0.000

Calculated values
N(E_F) = 0.81 states/eV/atom
magnetic moment = 0.000 μB/atom
V = 43.4 Å³ per atom
uncorrected energy = -4.484 eV per atom
formation enthalpy at 0 K = 232 meV per atom

Computed, not measured: YHo3Th2Bi6 after structural relaxation at the PBE level of DFT.

Lattice parameters (Å, degrees): 19.652 4.521 9.011 90.00 103.14 90.00
Space group C2/m (No. 12)
Asymmetric unit:
Y  0.000  0.000  0.000
Ho  0.000  0.000  0.500
Ho  0.167  0.500  0.834
Th  0.165  0.500  0.331
Bi  0.003  0.500  0.750
Bi  0.165  0.000  0.589
Bi  0.167  0.000  0.076

Calculated values
N(E_F) = 0.41 states/eV/atom
magnetic moment = 0.000 μB/atom
V = 32.5 Å³ per atom
uncorrected energy = -5.617 eV per atom
formation enthalpy at 0 K = -757 meV per atom